CrAgIr2: optimized geometry, PBE.

Cell and atoms, written as CIF:
```
data_CrAgIr2
_chemical_formula_sum 'Cr1 Ag1 Ir2'
_cell_length_a 2.765
_cell_length_b 3.845
_cell_length_c 5.639
_cell_angle_alpha 90.00
_cell_angle_beta 90.00
_cell_angle_gamma 90.00
_space_group_name_H-M_alt 'P m m 2'
_space_group_IT_number 25
loop_
_space_group_symop_operation_xyz
'x,y,z'
'-x,-y,z'
'-x,y,z'
'x,-y,z'
loop_
_atom_site_label
_atom_site_type_symbol
_atom_site_fract_x
_atom_site_fract_y
_atom_site_fract_z
Cr1 Cr 0.000 0.000 0.000
Ag1 Ag 0.500 0.500 0.726
Ir1 Ir 0.000 0.000 0.456
Ir2 Ir 0.500 0.500 0.215
```

## Properties
DOS(E_F) = 4.31 states/eV/cell
Formation energy from the elements = 0.26 eV per atom